A relaxed KSr3Ru crystal, computed with PBE-GGA.

Cell: 6.038 6.038 6.038 Å, 90.00 90.00 90.00°
Space group Pm-3m (No. 221)
Symmetry-distinct sites (fractional):
K  0.000  0.000  0.000 x1
Sr  0.000  0.000  0.500 x3
Ru  0.500  0.500  0.500 x1

Computed properties:
Crystal system   cubic
Energy   -6.9 eV per cell